Density functional theory data (PBE-GGA) for crystalline Ba3Na7Tl4 at its relaxed geometry.

Cell: 20.684 4.749 13.164 Å, 90.00 125.23 90.00°
Space group C2/m (No. 12)
Inequivalent atoms, fractional coordinates:
Ba1 0.000 0.000 0.000 x2
Ba2 0.194 0.500 0.702 x4
Na1 0.000 0.000 0.500 x2
Na2 0.015 0.500 0.283 x4
Na3 0.172 0.000 0.431 x4
Na4 0.179 0.500 0.012 x4
Tl1 0.114 0.000 0.808 x4
Tl2 0.158 0.500 0.246 x4

Results
The final energy is -1.890 eV/atom. The calculation puts the density of states at the Fermi level at 0.840 states/eV/atom.